#A
# NbGePS2, optimized geometry, DFT PBE-GGA
data_NbGePS2
_chemical_formula_sum 'Nb1 Ge1 P1 S2'
_symmetry_space_group_name_H-M 'P 4/m m m'
_symmetry_Int_Tables_number 123
_symmetry_space_group_name_Hall '-P 4 2'
_cell_length_a 4.726
_cell_length_b 4.726
_cell_length_c 5.043
_cell_angle_alpha 90.00
_cell_angle_beta 90.00
_cell_angle_gamma 90.00
loop_
_atom_site_label
_atom_site_type_symbol
_atom_site_fract_x
_atom_site_fract_y
_atom_site_fract_z
_atom_site_occupancy
Nb1 Nb 0.000 0.000 0.000 1
Ge1 Ge 0.500 0.500 0.500 1
P1 P 0.000 0.000 0.500 1
S1 S 0.000 0.500 0.000 1
# Total magnetization   0.0 μB per cell
# Crystal system   tetragonal



#B
# NbGePS2, optimized geometry, DFT PBE-GGA
data_NbGePS2
_chemical_formula_sum 'Nb1 Ge1 P1 S2'
_symmetry_space_group_name_H-M 'P 4/m m m'
_symmetry_Int_Tables_number 123
_symmetry_space_group_name_Hall '-P 4 2'
_cell_length_a 4.555
_cell_length_b 4.555
_cell_length_c 4.628
_cell_angle_alpha 90.00
_cell_angle_beta 90.00
_cell_angle_gamma 90.00
loop_
_atom_site_label
_atom_site_type_symbol
_atom_site_fract_x
_atom_site_fract_y
_atom_site_fract_z
_atom_site_occupancy
Nb1 Nb 0.000 0.000 0.000 1
Ge1 Ge 0.500 0.500 0.500 1
P1 P 0.500 0.500 0.000 1
S1 S 0.000 0.500 0.500 1
# Total magnetization   0.0 μB per cell
# Crystal system   tetragonal



Best to worst by energy: #A, #B.



#A
# Pa2NbGe, optimized geometry, DFT PBE-GGA
data_Pa2NbGe
_chemical_formula_sum 'Pa8 Nb4 Ge4'
_symmetry_space_group_name_H-M 'F m -3 m'
_symmetry_Int_Tables_number 225
_symmetry_space_group_name_Hall '-F 4 2 3'
_cell_length_a 7.099
_cell_length_b 7.099
_cell_length_c 7.099
_cell_angle_alpha 90.00
_cell_angle_beta 90.00
_cell_angle_gamma 90.00
loop_
_atom_site_label
_atom_site_type_symbol
_atom_site_fract_x
_atom_site_fract_y
_atom_site_fract_z
_atom_site_occupancy
Pa1 Pa 0.250 0.250 0.250 1
Nb1 Nb 0.000 0.000 0.000 1
Ge1 Ge 0.000 0.000 0.500 1
# Total magnetization   0.0 μB per cell
# Crystal system   cubic



#B
# Pa2NbGe, optimized geometry, DFT PBE-GGA
data_Pa2NbGe
_chemical_formula_sum 'Pa6 Nb3 Ge3'
_symmetry_space_group_name_H-M 'R -3 m'
_symmetry_Int_Tables_number 166
_symmetry_space_group_name_Hall '-R 3 2"'
_cell_length_a 3.0975
_cell_length_b 3.0975
_cell_length_c 32.1131
_cell_angle_alpha 90.00
_cell_angle_beta 90.00
_cell_angle_gamma 120.00
loop_
_atom_site_label
_atom_site_type_symbol
_atom_site_fract_x
_atom_site_fract_y
_atom_site_fract_z
_atom_site_occupancy
Pa1 Pa 0.0000 0.0000 0.0874 1
Nb1 Nb 0.0000 0.0000 0.0000 1
Ge1 Ge 0.0000 0.0000 0.5000 1
# Total magnetization   0.0 μB per cell
# Crystal system   trigonal



#C
# Pa2NbGe, optimized geometry, DFT PBE-GGA
data_Pa2NbGe
_chemical_formula_sum 'Pa2 Nb1 Ge1'
_symmetry_space_group_name_H-M 'P 4/m m m'
_symmetry_Int_Tables_number 123
_symmetry_space_group_name_Hall '-P 4 2'
_cell_length_a 3.790
_cell_length_b 3.790
_cell_length_c 6.187
_cell_angle_alpha 90.00
_cell_angle_beta 90.00
_cell_angle_gamma 90.00
loop_
_atom_site_label
_atom_site_type_symbol
_atom_site_fract_x
_atom_site_fract_y
_atom_site_fract_z
_atom_site_occupancy
Pa1 Pa 0.000 0.000 0.229 1
Nb1 Nb 0.500 0.500 0.500 1
Ge1 Ge 0.500 0.500 0.000 1
# Total magnetization   0.0 μB per cell
# Crystal system   tetragonal



Best to worst by energy: #C, #A, #B.



#A
# PaNbGe, optimized geometry, DFT PBE-GGA
data_PaNbGe
_chemical_formula_sum 'Pa1 Nb1 Ge1'
_symmetry_space_group_name_H-M 'P 3 m 1'
_symmetry_Int_Tables_number 156
_cell_length_a 3.4511
_cell_length_b 3.4511
_cell_length_c 6.3198
_cell_angle_alpha 90.00
_cell_angle_beta 90.00
_cell_angle_gamma 120.00
loop_
_symmetry_equiv_pos_as_xyz
'x,y,z'
'-y,x-y,z'
'-x+y,-x,z'
'-y,-x,z'
'-x+y,y,z'
'x,x-y,z'
loop_
_atom_site_label
_atom_site_type_symbol
_atom_site_fract_x
_atom_site_fract_y
_atom_site_fract_z
_atom_site_occupancy
Pa1 Pa 0.0000 0.0000 0.0000 1
Nb1 Nb 0.6667 0.3333 0.3858 1
Ge1 Ge 0.3333 0.6667 0.6504 1
# Total magnetization   0.0 μB per cell
# Crystal system   trigonal



#B
# PaNbGe, optimized geometry, DFT PBE-GGA
data_PaNbGe
_chemical_formula_sum 'Pa4 Nb4 Ge4'
_symmetry_space_group_name_H-M 'I 4/m m m'
_symmetry_Int_Tables_number 139
_symmetry_space_group_name_Hall '-I 4 2'
_cell_length_a 4.105
_cell_length_b 4.105
_cell_length_c 15.107
_cell_angle_alpha 90.00
_cell_angle_beta 90.00
_cell_angle_gamma 90.00
loop_
_atom_site_label
_atom_site_type_symbol
_atom_site_fract_x
_atom_site_fract_y
_atom_site_fract_z
_atom_site_occupancy
Pa1 Pa 0.000 0.000 0.170 1
Nb1 Nb 0.000 0.500 0.000 1
Ge1 Ge 0.000 0.000 0.371 1
# Total magnetization   0.0 μB per cell
# Crystal system   tetragonal



#C
# PaNbGe, optimized geometry, DFT PBE-GGA
data_PaNbGe
_chemical_formula_sum 'Pa4 Nb4 Ge4'
_symmetry_space_group_name_H-M 'I m m m'
_symmetry_Int_Tables_number 71
_symmetry_space_group_name_Hall '-I 2 2'
_cell_length_a 4.661
_cell_length_b 6.107
_cell_length_c 8.771
_cell_angle_alpha 90.00
_cell_angle_beta 90.00
_cell_angle_gamma 90.00
loop_
_atom_site_label
_atom_site_type_symbol
_atom_site_fract_x
_atom_site_fract_y
_atom_site_fract_z
_atom_site_occupancy
Pa1 Pa 0.000 0.000 0.155 1
Nb1 Nb 0.000 0.223 0.500 1
Ge1 Ge 0.000 0.500 0.148 1
# Total magnetization   0.0 μB per cell
# Crystal system   orthorhombic



Best to worst by energy: #B, #C, #A.



#A
# PaNb2Ge2, optimized geometry, DFT PBE-GGA
data_PaNb2Ge2
_chemical_formula_sum 'Pa4 Nb8 Ge8'
_symmetry_space_group_name_H-M 'C 1 2/c 1'
_symmetry_Int_Tables_number 15
_cell_length_a 8.635
_cell_length_b 10.518
_cell_length_c 5.436
_cell_angle_alpha 90.00
_cell_angle_beta 121.00
_cell_angle_gamma 90.00
loop_
_symmetry_equiv_pos_as_xyz
'x,y,z'
'-x,-y,-z'
'-x,y,-z+1/2'
'x,-y,z+1/2'
'x+1/2,y+1/2,z'
'-x+1/2,-y+1/2,-z'
'-x+1/2,y+1/2,-z+1/2'
'x+1/2,-y+1/2,z+1/2'
loop_
_atom_site_label
_atom_site_type_symbol
_atom_site_fract_x
_atom_site_fract_y
_atom_site_fract_z
_atom_site_occupancy
Pa1 Pa 0.000 0.096 0.250 1
Nb1 Nb 0.179 0.409 0.983 1
Ge1 Ge 0.000 0.195 0.750 1
Ge2 Ge 0.000 0.372 0.250 1
# Total magnetization   0.0 μB per cell
# Crystal system   monoclinic



#B
# PaNb2Ge2, optimized geometry, DFT PBE-GGA
data_PaNb2Ge2
_chemical_formula_sum 'Pa4 Nb8 Ge8'
_symmetry_space_group_name_H-M 'C m c 21'
_symmetry_Int_Tables_number 36
_cell_length_a 3.717
_cell_length_b 12.595
_cell_length_c 8.519
_cell_angle_alpha 90.00
_cell_angle_beta 90.00
_cell_angle_gamma 90.00
loop_
_symmetry_equiv_pos_as_xyz
'x,y,z'
'-x,-y,z+1/2'
'-x,y,z'
'x,-y,z+1/2'
'x+1/2,y+1/2,z'
'-x+1/2,-y+1/2,z+1/2'
'-x+1/2,y+1/2,z'
'x+1/2,-y+1/2,z+1/2'
loop_
_atom_site_label
_atom_site_type_symbol
_atom_site_fract_x
_atom_site_fract_y
_atom_site_fract_z
_atom_site_occupancy
Pa1 Pa 0.000 0.093 0.000 1
Nb1 Nb 0.000 0.200 0.607 1
Nb2 Nb 0.000 0.390 0.883 1
Ge1 Ge 0.000 0.249 0.311 1
Ge2 Ge 0.000 0.449 0.193 1
# Total magnetization   0.0 μB per cell
# Crystal system   orthorhombic



Best to worst by energy: #B, #A.



#A
# NbGePb3, optimized geometry, DFT PBE-GGA
data_NbGePb3
_chemical_formula_sum 'Nb1 Ge1 Pb3'
_symmetry_space_group_name_H-M 'P m -3 m'
_symmetry_Int_Tables_number 221
_symmetry_space_group_name_Hall '-P 4 2 3'
_cell_length_a 5.385
_cell_length_b 5.385
_cell_length_c 5.385
_cell_angle_alpha 90.00
_cell_angle_beta 90.00
_cell_angle_gamma 90.00
loop_
_atom_site_label
_atom_site_type_symbol
_atom_site_fract_x
_atom_site_fract_y
_atom_site_fract_z
_atom_site_occupancy
Nb1 Nb 0.000 0.000 0.000 1
Ge1 Ge 0.500 0.500 0.500 1
Pb1 Pb 0.000 0.500 0.500 1
# Total magnetization   0.1 μB per cell
# Crystal system   cubic



#B
# NbGePb3, optimized geometry, DFT PBE-GGA
data_NbGePb3
_chemical_formula_sum 'Nb1 Ge1 Pb3'
_symmetry_space_group_name_H-M 'P m -3 m'
_symmetry_Int_Tables_number 221
_symmetry_space_group_name_Hall '-P 4 2 3'
_cell_length_a 5.516
_cell_length_b 5.516
_cell_length_c 5.516
_cell_angle_alpha 90.00
_cell_angle_beta 90.00
_cell_angle_gamma 90.00
loop_
_atom_site_label
_atom_site_type_symbol
_atom_site_fract_x
_atom_site_fract_y
_atom_site_fract_z
_atom_site_occupancy
Nb1 Nb 0.000 0.000 0.000 1
Ge1 Ge 0.500 0.500 0.500 1
Pb1 Pb 0.000 0.000 0.500 1
# Total magnetization   0.0 μB per cell
# Crystal system   cubic



Best to worst by energy: #B, #A.